No. 1
The following is a DFT calculation (GGA-PBE) of crystalline Tm4CoSb2 at its relaxed geometry.

The space group is I4/mmm (No. 139) and the conventional cell measures 4.8506, 4.8506 and 15.9473 Å, with angles of 90.00, 90.00 and 90.00 degrees. The distinct sites, in fractional coordinates, are Tm at (0.0000, 0.0000, 0.1685), Tm at (0.0000, 0.5000, 0.0000), Co at (0.0000, 0.0000, 0.0000) and Sb at (0.0000, 0.0000, 0.3594).

The value obtained for the total magnetization is 0.00 μB per cell. Its crystal system is tetragonal. The formation energy (no corrections) comes out at -0.573 eV/atom.

No. 2
The following is a DFT calculation (GGA-PBE) of crystalline LaCeLuPb at its relaxed geometry.

The space group is F-43m (No. 216) and the conventional cell measures 7.8100, 7.8100 and 7.8100 Å, with angles of 90.00, 90.00 and 90.00 degrees. The distinct sites, in fractional coordinates, are La at (0.0000, 0.0000, 0.0000), Ce at (0.2500, 0.2500, 0.7500), Lu at (0.0000, 0.0000, 0.5000) and Pb at (0.2500, 0.2500, 0.2500).

The value obtained for the total magnetization is 2.06 μB per cell. The value obtained for the energy of formation from the pure elements is -0.0512 eV per atom. Its crystal system is cubic.

No. 3
The following is a DFT calculation (GGA-PBE) of crystalline PmNdY2Ho2 at its relaxed geometry.

The space group is Pnnm (No. 58) and the conventional cell measures 6.5935, 17.8887 and 3.4208 Å, with angles of 90.00, 90.00 and 90.00 degrees. The distinct sites, in fractional coordinates, are Pm at (0.0000, 0.0000, 0.0000), Nd at (0.0000, 0.5000, 0.0000), Y at (0.2271, 0.1855, 0.0000) and Ho at (0.2263, 0.3513, 0.5000).

The value obtained for the total magnetization is 0.00 μB per cell. The value obtained for the energy of formation from the pure elements is 0.2684 eV per atom. Its crystal system is orthorhombic.

No. 4
The following is a DFT calculation (GGA-PBE) of crystalline La3Tb2Zn3 at its relaxed geometry.

The space group is Immm (No. 71) and the conventional cell measures 3.7312, 5.4270 and 22.0707 Å, with angles of 90.00, 90.00 and 90.00 degrees. The distinct sites, in fractional coordinates, are La at (0.0000, 0.0000, 0.0000), La at (0.0000, 0.5000, 0.1193), Tb at (0.0000, 0.0000, 0.2301), Zn at (0.0000, 0.0000, 0.5000) and Zn at (0.0000, 0.5000, 0.3788).

The value obtained for the total magnetization is 0.00 μB per cell. The value obtained for the energy of formation from the pure elements is -0.2361 eV per atom. Its crystal system is orthorhombic.

No. 5
The following is a DFT calculation (GGA-PBE) of crystalline BeInRe at its relaxed geometry.

The space group is I4mm (No. 107) and the conventional cell measures 3.1136, 3.1136 and 9.5151 Å, with angles of 90.00, 90.00 and 90.00 degrees. The distinct sites, in fractional coordinates, are Be at (0.0000, 0.0000, 0.0000), In at (0.0000, 0.0000, 0.7162) and Re at (0.0000, 0.0000, 0.4177).

The value obtained for the total magnetization is 0.00 μB per cell. The value obtained for the energy of formation from the pure elements is 0.3346 eV per atom. Its crystal system is tetragonal.

No. 6
The following is a DFT calculation (GGA-PBE) of crystalline CuSbC3 at its relaxed geometry.

The space group is Pm-3m (No. 221) and the conventional cell measures 3.9449, 3.9449 and 3.9449 Å, with angles of 90.00, 90.00 and 90.00 degrees. The distinct sites, in fractional coordinates, are Cu at (0.0000, 0.0000, 0.0000), Sb at (0.5000, 0.5000, 0.5000) and C at (0.0000, 0.0000, 0.5000).

The value obtained for the total magnetization is 0.00 μB per cell. Its crystal system is cubic. The formation energy (no corrections) comes out at 2.592 eV/atom.